(1)
Below is an optimized crystal structure of AcTiCu, with properties calculated at the PBE level.

Computed properties:
Magnetic moment in μB/f.u.: 1.19
Calculated volume in Å³ per atom: 23.678
Raw total energy in eV per atom: -5.14
DOS(E_F) in states/eV per cell: 7.38
ΔE_f in eV per atom: 0.223

Unit cell a=3.539 b=3.539 c=11.345 alpha=90.00 beta=90.00 gamma=90.00
Space group P4/mmm (No. 123)
Unique sites:
Ac: 0.000 0.000 0.180
Ti: 0.500 0.500 0.392
Cu: 0.000 0.000 0.500
Cu: 0.500 0.500 0.000

=====

(2)
Below is an optimized crystal structure of SrOs4Pb, with properties calculated at the PBE level.

Computed properties:
Magnetic moment in μB/f.u.: 0.01
Calculated volume in Å³ per atom: 18.772
Raw total energy in eV per atom: -7.72
DOS(E_F) in states/eV per cell: 39.16
ΔE_f in eV per atom: 0.669

Unit cell a=7.666 b=7.666 c=7.666 alpha=90.00 beta=90.00 gamma=90.00
Space group F-43m (No. 216)
Unique sites:
Sr: 0.000 0.000 0.000
Os: 0.125 0.125 0.625
Pb: 0.250 0.250 0.250

=====

Q: The lowest ΔE_f belongs to which entry?
A: AcTiCu